No. 1
This record from Alexandria describes a relaxed Cs4Er3MnTe8 crystal. The functional is PBE.

Structure (POSCAR):
```
Cs4Er3MnTe8
1.0
8.9442 0.0000 0.0000
0.0000 10.2344 0.9044
-4.4721 -4.4661 6.3274
Cs Mn Te Er
4 1 8 3
direct
0.0000 0.0000 0.0000
0.0000 0.0000 0.5000
0.5000 0.0000 0.5000
0.5000 0.0000 0.0000
0.0000 0.5000 0.0000
0.7805 0.3194 0.0389
0.2584 0.3194 0.0389
0.2698 0.3095 0.5396
0.7302 0.6905 0.4604
0.7416 0.6806 0.9611
0.2195 0.6806 0.9611
0.2197 0.6807 0.4393
0.7803 0.3193 0.5607
0.0000 0.5000 0.5000
0.5000 0.5000 0.5000
0.5000 0.5000 0.0000
```

Results
Formation energy without anion corrections in eV/atom: -1.115


No. 2
This record from Alexandria describes a relaxed CaHg3I crystal. The functional is PBE.

Structure (POSCAR):
```
CaHg3I
1.0
-5.3405 -1.9909 2.1338
-0.3000 -4.0516 -4.5313
2.9029 -4.0815 3.4572
Hg Ca I
3 1 1
direct
0.0000 0.5000 0.0000
0.0000 0.0000 0.5000
0.5000 0.0000 0.0000
0.0000 0.0000 0.0000
0.5000 0.5000 0.5000
```

Results
Formation energy without anion corrections in eV/atom: -0.115


No. 3
This record from Alexandria describes a relaxed CaNb2H crystal. The functional is PBE.

Structure (POSCAR):
```
CaNb2H
1.0
-0.9944 -0.0856 -5.9435
4.8147 -3.5456 -0.7545
-0.5477 -5.2512 -2.8883
H Nb Ca
2 4 2
direct
0.2500 0.7500 0.5000
0.5000 0.5000 0.0000
0.3747 0.6250 0.2500
0.3753 0.1250 0.2500
0.8750 0.6253 0.7500
0.3750 0.6247 0.7500
0.7500 0.2500 0.5000
0.0000 0.0000 0.0000
```


No. 4
This record from Alexandria describes a relaxed Ce2Tm5Sn4 crystal. The functional is PBE.

Structure (POSCAR):
```
Ce2Tm5Sn4
1.0
3.4108 0.0000 0.0000
0.0000 7.3726 1.0951
-1.7054 -1.5459 12.8576
Sn Tm Ce
4 5 2
direct
0.0307 0.6635 0.0614
0.6789 0.5085 0.3578
0.9693 0.3365 0.9386
0.3211 0.4915 0.6422
0.8620 0.1606 0.7240
0.2368 0.2009 0.4736
0.5000 0.0000 0.0000
0.7632 0.7991 0.5264
0.1380 0.8394 0.2760
0.0956 0.2878 0.1912
0.9044 0.7122 0.8088
```

Results
Formation energy from the elements in eV per atom: -0.1922


No. 5
This record from Alexandria describes a relaxed CdTe2Au2 crystal. The functional is PBE.

Structure (POSCAR):
```
CdTe2Au2
1.0
-5.6513 4.0183 4.1694
-5.6286 -5.1806 -2.6362
0.6593 -2.2982 3.1086
Te Au Cd
4 4 2
direct
0.6947 0.1947 0.0000
0.3053 0.8053 0.0000
0.1947 0.3053 0.0000
0.8053 0.6947 0.0000
0.1200 0.6200 0.5000
0.8800 0.3800 0.5000
0.6200 0.8800 0.5000
0.3800 0.1200 0.5000
0.5000 0.5000 0.0000
0.0000 0.0000 0.0000
```

Results
Formation energy without anion corrections in eV/atom: 0.102


No. 6
This record from Alexandria describes a relaxed NiS6Cl4 crystal. The functional is PBE.

Structure (POSCAR):
```
NiS6Cl4
1.0
9.7940 0.0000 -0.0004
-0.0002 8.3990 -4.8489
0.0003 -0.0022 9.6971
Ni S Cl
2 12 8
direct
0.0335 0.6667 0.3334
0.5335 0.3333 0.6666
0.5158 0.4392 0.2195
0.9413 0.4477 0.5523
0.5160 0.7804 0.5607
0.9413 0.1046 0.5523
0.0158 0.5608 0.7805
0.4413 0.8954 0.4477
0.4413 0.5523 0.4476
0.5158 0.7803 0.2195
0.0158 0.2197 0.7805
0.9410 0.4477 0.8954
0.4410 0.5523 0.1046
0.0160 0.2196 0.4393
0.6036 0.2106 0.4212
0.1036 0.7894 0.5788
0.6035 0.2107 0.7893
0.8115 0.6667 0.3334
0.6035 0.5787 0.7894
0.1035 0.4213 0.2106
0.3115 0.3333 0.6666
0.1035 0.7893 0.2107
```

Results
Formation energy without anion corrections in eV/atom: -0.106


| no. | electronic total energy (eV per atom) |
| --- | --- |
| 1 | -4.328 |
| 2 | -1.006 |
| 3 | -6.103 |
| 4 | -4.759 |
| 5 | -2.649 |
| 6 | -3.554 |